Record 1
PBE NpRuPtRh, optimized geometry; energy of formation from the pure elements = -0.77 eV/f.u.; spin magnetization = 1.98 μB per formula unit; V = 16.91 Å³ per atom; total DFT energy (no corrections) = -0.6684 Ry per atom; SG = F-43m (216)
1.0
6.467 0.000 0.000
0.000 6.467 0.000
0.000 0.000 6.467
Np Ru Pt Rh
4 4 4 4
Cartesian
0.000 0.000 0.000
0.000 3.234 3.234
3.234 0.000 3.234
3.234 3.234 0.000
1.617 1.617 4.851
1.617 4.851 1.617
4.851 1.617 1.617
4.851 4.851 4.851
0.000 0.000 3.234
0.000 3.234 0.000
3.234 0.000 0.000
3.234 3.234 3.234
1.617 1.617 1.617
1.617 4.851 4.851
4.851 1.617 4.851
4.851 4.851 1.617

=====

Record 2
PBE Si2AsPd8, optimized geometry; spin magnetization = 0.00 μB per formula unit; V = 15.15 Å³ per atom; total DFT energy (no corrections) = -0.4140 Ry per atom; SG = Immm (71)
1.0
-1.981 3.594 5.852
1.981 -3.594 5.852
1.981 3.594 -5.852
Si As Pd
2 1 8
Cartesian
0.000 0.000 2.168
0.000 0.000 9.535
0.000 0.000 5.852
1.981 1.531 -1.957
0.000 1.307 0.000
1.981 0.000 4.296
1.981 1.531 1.957
0.000 2.063 3.894
0.000 3.594 1.556
0.000 5.882 0.000
0.000 2.063 7.809

=====

Record 3
PBE Hg2OsBr, optimized geometry; spin magnetization = 0.00 μB per formula unit; V = 25.87 Å³ per atom; total DFT energy (no corrections) = -0.2043 Ry per atom; SG = Cm (8)
1.0
10.310 0.000 0.000
0.000 3.092 0.000
-2.164 0.000 6.493
Hg Os Br
4 2 2
Cartesian
0.000 0.000 0.000
0.562 0.000 4.536
5.155 1.546 0.000
5.717 1.546 4.536
3.305 0.000 4.206
8.460 1.546 4.206
3.081 1.546 2.287
8.236 0.000 2.287